i.
AcSm2I | Alexandria via LeMat-Bulk | PBE-GGA | optimized geometry; DOS(E_F) = 4.41 states/eV/f.u.; calculated volume = 35.18 Å³ per atom; symmetry = P4/mmm
1.0
-2.415 0.953 2.769
-1.604 -3.434 -0.217
6.304 -3.365 6.658
I Ac Sm
1 1 2
Direct
0.500 0.500 0.500
0.500 0.500 0.000
0.000 0.000 0.734
0.000 0.000 0.266


ii.
AcSm2I | Alexandria via LeMat-Bulk | PBE-GGA | optimized geometry; DOS(E_F) = 6.60 states/eV/f.u.; calculated volume = 36.63 Å³ per atom; symmetry = R-3m
1.0
3.727 0.000 0.000
1.864 3.228 0.000
1.864 1.076 12.179
I Ac Sm
1 1 2
Direct
0.500 0.500 0.500
0.000 0.000 0.000
0.098 0.098 0.706
0.902 0.902 0.294


Most favorable structure: i. The second most favorable one is 0.167 eV/atom above it.